1.
A plane-wave DFT calculation with GGA-PBE was carried out for an optimized crystal structure of Pr2PBr2.

## Properties
electronic total energy: -0.1994 hartree per atom
crystal system: monoclinic
D(E_F): 0.300 states/eV per atom
formation energy without anion corrections: -8.809 eV/f.u.
space group: C2/m, No. 12

Lattice parameters (Å, degrees): 7.273 4.200 11.591 90.00 103.34 90.00
Sites, in units of the cell vectors:
Pr (0.219, 0.000, 0.143)
Pr (0.281, 0.500, 0.857)
Pr (0.719, 0.500, 0.143)
Pr (0.781, 0.000, 0.857)
P (0.000, 0.500, 0.000)
P (0.500, 0.000, 0.000)
Br (0.053, 0.000, 0.691)
Br (0.447, 0.500, 0.309)
Br (0.553, 0.500, 0.691)
Br (0.947, 0.000, 0.309)

***

2.
A plane-wave DFT calculation with GGA-PBE was carried out for an optimized crystal structure of LaDyEr2Tm5.

## Properties
electronic total energy: -0.1568 hartree per atom
crystal system: tetragonal
D(E_F): 1.328 states/eV per atom
space group: I4/mcm, No. 140

Lattice parameters (Å, degrees): 9.599 9.599 9.599 124.46 124.46 82.44
Sites, in units of the cell vectors:
La (0.250, 0.250, 0.000)
La (0.750, 0.750, 0.000)
Dy (0.250, 0.750, 0.500)
Dy (0.750, 0.250, 0.500)
Er (0.112, 0.612, 0.723)
Er (0.388, 0.112, 0.500)
Er (0.612, 0.888, 0.500)
Er (0.888, 0.388, 0.277)
Tm (0.000, 0.000, 0.000)
Tm (0.075, 0.167, 0.500)
Tm (0.167, 0.667, 0.093)
Tm (0.333, 0.425, 0.500)
Tm (0.425, 0.925, 0.093)
Tm (0.500, 0.500, 0.000)
Tm (0.575, 0.075, 0.907)
Tm (0.667, 0.575, 0.500)
Tm (0.833, 0.333, 0.907)
Tm (0.925, 0.833, 0.500)

***

3.
A plane-wave DFT calculation with GGA-PBE was carried out for an optimized crystal structure of LiHoNbIr.

## Properties
electronic total energy: -0.2421 hartree per atom
crystal system: cubic
D(E_F): 0.653 states/eV per atom
space group: F-43m, No. 216

Lattice parameters (Å, degrees): 6.626 6.626 6.626 90.00 90.00 90.00
Sites, in units of the cell vectors:
Li (0.000, 0.000, 0.000)
Li (0.000, 0.500, 0.500)
Li (0.500, 0.000, 0.500)
Li (0.500, 0.500, 0.000)
Ho (0.250, 0.250, 0.250)
Ho (0.250, 0.750, 0.750)
Ho (0.750, 0.250, 0.750)
Ho (0.750, 0.750, 0.250)
Nb (0.250, 0.250, 0.750)
Nb (0.250, 0.750, 0.250)
Nb (0.750, 0.250, 0.250)
Nb (0.750, 0.750, 0.750)
Ir (0.000, 0.000, 0.500)
Ir (0.000, 0.500, 0.000)
Ir (0.500, 0.000, 0.000)
Ir (0.500, 0.500, 0.500)

***

4.
A plane-wave DFT calculation with GGA-PBE was carried out for an optimized crystal structure of TcBi2F.

## Properties
electronic total energy: -0.1836 hartree per atom
crystal system: tetragonal
D(E_F): 0.861 states/eV per atom
formation energy without anion corrections: 0.019 eV/f.u.
space group: I-42d, No. 122
excess energy over the best structure of this formula in the dataset: 147 meV per atom

Lattice parameters (Å, degrees): 5.856 5.856 12.752 90.00 90.00 90.00
Sites, in units of the cell vectors:
Tc (0.000, 0.000, 0.000)
Tc (0.000, 0.500, 0.250)
Tc (0.500, 0.000, 0.750)
Tc (0.500, 0.500, 0.500)
Bi (0.247, 0.250, 0.625)
Bi (0.250, 0.747, 0.875)
Bi (0.250, 0.753, 0.375)
Bi (0.253, 0.250, 0.125)
Bi (0.747, 0.750, 0.125)
Bi (0.750, 0.247, 0.375)
Bi (0.750, 0.253, 0.875)
Bi (0.753, 0.750, 0.625)
F (0.000, 0.000, 0.500)
F (0.000, 0.500, 0.750)
F (0.500, 0.000, 0.250)
F (0.500, 0.500, 0.000)

***

5.
A plane-wave DFT calculation with GGA-PBE was carried out for an optimized crystal structure of PmNd3Ga3.

## Properties
electronic total energy: -0.1625 hartree per atom
crystal system: hexagonal
D(E_F): 0.877 states/eV per atom
space group: P6_3/m, No. 176

Lattice parameters (Å, degrees): 9.534 9.534 4.826 90.00 90.00 120.00
Sites, in units of the cell vectors:
Pm (0.333, 0.667, 0.250)
Pm (0.667, 0.333, 0.750)
Nd (0.023, 0.262, 0.750)
Nd (0.240, 0.977, 0.750)
Nd (0.262, 0.240, 0.250)
Nd (0.738, 0.760, 0.750)
Nd (0.760, 0.023, 0.250)
Nd (0.977, 0.738, 0.250)
Ga (0.058, 0.604, 0.750)
Ga (0.396, 0.454, 0.750)
Ga (0.454, 0.058, 0.250)
Ga (0.546, 0.942, 0.750)
Ga (0.604, 0.546, 0.250)
Ga (0.942, 0.396, 0.250)

***

6.
A plane-wave DFT calculation with GGA-PBE was carried out for an optimized crystal structure of K4NaCl5.

## Properties
electronic total energy: -0.1251 hartree per atom
crystal system: tetragonal
D(E_F): 0.000 states/eV per atom
formation energy without anion corrections: -19.086 eV/f.u.
space group: I4/mmm, No. 139
excess energy over the best structure of this formula in the dataset: 8 meV per atom

Lattice parameters (Å, degrees): 15.876 15.876 15.876 163.92 163.92 22.82
Sites, in units of the cell vectors:
K (0.098, 0.098, 0.000)
K (0.301, 0.301, 0.000)
K (0.699, 0.699, 0.000)
K (0.902, 0.902, 0.000)
Na (0.500, 0.500, 0.000)
Cl (0.000, 0.000, 0.000)
Cl (0.199, 0.199, 0.000)
Cl (0.408, 0.408, 0.000)
Cl (0.592, 0.592, 0.000)
Cl (0.801, 0.801, 0.000)

***

7.
A plane-wave DFT calculation with GGA-PBE was carried out for an optimized crystal structure of Sm6Ho5Mg2.

## Properties
electronic total energy: -0.1488 hartree per atom
crystal system: orthorhombic
D(E_F): 1.667 states/eV per atom
space group: Pbam, No. 55

Lattice parameters (Å, degrees): 10.440 22.714 3.532 90.00 90.00 90.00
Sites, in units of the cell vectors:
Sm (0.018, 0.113, 0.000)
Sm (0.145, 0.383, 0.000)
Sm (0.170, 0.634, 0.500)
Sm (0.330, 0.134, 0.500)
Sm (0.355, 0.883, 0.000)
Sm (0.482, 0.613, 0.000)
Sm (0.518, 0.387, 0.000)
Sm (0.645, 0.117, 0.000)
Sm (0.670, 0.866, 0.500)
Sm (0.830, 0.366, 0.500)
Sm (0.855, 0.617, 0.000)
Sm (0.982, 0.887, 0.000)
Ho (0.000, 0.500, 0.500)
Ho (0.081, 0.249, 0.500)
Ho (0.166, 0.994, 0.500)
Ho (0.334, 0.494, 0.500)
Ho (0.419, 0.749, 0.500)
Ho (0.500, 0.000, 0.500)
Ho (0.581, 0.251, 0.500)
Ho (0.666, 0.506, 0.500)
Ho (0.834, 0.006, 0.500)
Ho (0.919, 0.751, 0.500)
Mg (0.169, 0.761, 0.000)
Mg (0.331, 0.261, 0.000)
Mg (0.669, 0.739, 0.000)
Mg (0.831, 0.239, 0.000)

***

8.
A plane-wave DFT calculation with GGA-PBE was carried out for an optimized crystal structure of ScAs.

## Properties
electronic total energy: -0.2080 hartree per atom
crystal system: trigonal
D(E_F): 0.905 states/eV per atom
space group: R-3m, No. 166

Lattice parameters (Å, degrees): 3.333 3.333 26.490 90.00 90.00 120.00
Sites, in units of the cell vectors:
Sc (0.000, 0.000, 0.116)
Sc (0.000, 0.000, 0.884)
Sc (0.333, 0.667, 0.551)
Sc (0.333, 0.667, 0.782)
Sc (0.667, 0.333, 0.218)
Sc (0.667, 0.333, 0.449)
As (0.000, 0.000, 0.371)
As (0.000, 0.000, 0.629)
As (0.333, 0.667, 0.038)
As (0.333, 0.667, 0.295)
As (0.667, 0.333, 0.705)
As (0.667, 0.333, 0.962)